No. 1
A plane-wave DFT calculation with PBE was carried out for a relaxed structure of Be6Mo.

```
data_Be6Mo
_chemical_formula_sum 'Be24 Mo4'
_symmetry_space_group_name_H-M 'P n m a'
_symmetry_Int_Tables_number 62
_cell_length_a 6.763
_cell_length_b 4.280
_cell_length_c 8.631
_cell_angle_alpha 90.00
_cell_angle_beta 90.00
_cell_angle_gamma 90.00
loop_
_symmetry_equiv_pos_as_xyz
'x,y,z'
'-x,-y,-z'
'-x+1/2,-y,z+1/2'
'x+1/2,y,-z+1/2'
'x+1/2,-y+1/2,-z+1/2'
'-x+1/2,y+1/2,z+1/2'
'-x,y+1/2,-z'
'x,-y+1/2,z'
loop_
_atom_site_label
_atom_site_fract_x
_atom_site_fract_y
_atom_site_fract_z
_atom_site_occupancy
Be1 0.060 0.010 0.186 1
Be2 0.060 0.750 0.400 1
Be3 0.096 0.250 0.978 1
Be4 0.148 0.750 0.646 1
Be5 0.196 0.250 0.752 1
Mo1 0.230 0.250 0.434 1
```

***

No. 2
# BeMo, optimized geometry, DFT PBE
# energy relative to the lowest polymorph listed for this composition	2021	meV per atom
data_BeMo
_chemical_formula_sum 'Be4 Mo4'
_symmetry_space_group_name_H-M 'F -4 3 m'
_symmetry_Int_Tables_number 216
_symmetry_space_group_name_Hall 'F -4 2 3'
_cell_length_a 5.030
_cell_length_b 5.030
_cell_length_c 5.030
_cell_angle_alpha 90.00
_cell_angle_beta 90.00
_cell_angle_gamma 90.00
loop_
_atom_site_label
_atom_site_fract_x
_atom_site_fract_y
_atom_site_fract_z
_atom_site_occupancy
Be1 0.000 0.000 0.000 1
Mo1 0.250 0.250 0.750 1

***

No. 3
# BeMo2, optimized geometry, DFT PBE
# energy relative to the lowest polymorph listed for this composition	175	meV per atom
data_BeMo2
_chemical_formula_sum 'Be4 Mo8'
_symmetry_space_group_name_H-M 'C m c m'
_symmetry_Int_Tables_number 63
_symmetry_space_group_name_Hall '-C 2c 2'
_cell_length_a 3.199
_cell_length_b 12.227
_cell_length_c 4.194
_cell_angle_alpha 90.00
_cell_angle_beta 90.00
_cell_angle_gamma 90.00
loop_
_atom_site_label
_atom_site_fract_x
_atom_site_fract_y
_atom_site_fract_z
_atom_site_occupancy
Be1 0.000 0.098 0.250 1
Mo1 0.000 0.244 0.750 1
Mo2 0.000 0.435 0.250 1

***

No. 4
# BeMo2, optimized geometry, DFT PBE
# energy relative to the lowest polymorph listed for this composition	186	meV per atom
data_BeMo2
_chemical_formula_sum 'Be2 Mo4'
_symmetry_space_group_name_H-M 'I 4/m m m'
_symmetry_Int_Tables_number 139
_symmetry_space_group_name_Hall '-I 4 2'
_cell_length_a 3.219
_cell_length_b 3.219
_cell_length_c 8.034
_cell_angle_alpha 90.00
_cell_angle_beta 90.00
_cell_angle_gamma 90.00
loop_
_atom_site_label
_atom_site_fract_x
_atom_site_fract_y
_atom_site_fract_z
_atom_site_occupancy
Be1 0.000 0.000 0.000 1
Mo1 0.000 0.000 0.336 1

***

No. 5
# Be4Mo, optimized geometry, DFT PBE
# energy relative to the lowest polymorph listed for this composition	1794	meV per atom
data_Be4Mo
_chemical_formula_sum 'Be4 Mo1'
_symmetry_space_group_name_H-M 'P m -3 m'
_symmetry_Int_Tables_number 221
_symmetry_space_group_name_Hall '-P 4 2 3'
_cell_length_a 4.239
_cell_length_b 4.239
_cell_length_c 4.239
_cell_angle_alpha 90.00
_cell_angle_beta 90.00
_cell_angle_gamma 90.00
loop_
_atom_site_label
_atom_site_fract_x
_atom_site_fract_y
_atom_site_fract_z
_atom_site_occupancy
Be1 0.000 0.000 0.000 1
Be2 0.000 0.500 0.500 1
Mo1 0.500 0.500 0.500 1

***

No. 6
# Be5Mo, optimized geometry, DFT PBE
# energy relative to the lowest polymorph listed for this composition	209	meV per atom
data_Be5Mo
_chemical_formula_sum 'Be10 Mo2'
_symmetry_space_group_name_H-M 'C 1 2/m 1'
_symmetry_Int_Tables_number 12
_cell_length_a 8.972
_cell_length_b 2.506
_cell_length_c 5.385
_cell_angle_alpha 90.00
_cell_angle_beta 107.70
_cell_angle_gamma 90.00
loop_
_symmetry_equiv_pos_as_xyz
'x,y,z'
'-x,-y,-z'
'-x,y,-z'
'x,-y,z'
'x+1/2,y+1/2,z'
'-x+1/2,-y+1/2,-z'
'-x+1/2,y+1/2,-z'
'x+1/2,-y+1/2,z'
loop_
_atom_site_label
_atom_site_fract_x
_atom_site_fract_y
_atom_site_fract_z
_atom_site_occupancy
Be1 0.000 0.000 0.000 1
Be2 0.170 0.500 0.870 1
Be3 0.192 0.500 0.319 1
Mo1 0.000 0.000 0.500 1

***

Formation enthalpy at 0 K in kJ per mole of atoms, matching the order above: -11.9; 172.2; 4.8; 5.9; 158.3; 5.9